{"formula": "MnBePb3", "functional": "PBE", "state": "optimized geometry", "lattice": [[5.196, 0.000, 0.000], [0.000, 5.196, 0.000], [0.000, 0.000, 5.196]], "species": ["Mn", "Be", "Pb", "Pb", "Pb"], "fractional_positions": [[0.000, 0.000, 0.000], [0.500, 0.500, 0.500], [0.000, 0.000, 0.500], [0.000, 0.500, 0.000], [0.500, 0.000, 0.000]], "ef_ev_per_atom": 0.80, "dft_energy_ev_per_atom": -4.006, "dos_at_fermi_per_ev_fu": 4.7, "de_polymorph_mev_per_atom": 114.6, "density_g_cm3": 8.11}


{"formula": "AcZn6Ag6", "functional": "PBE", "state": "optimized geometry", "lattice": [[-2.630, 4.743, 4.754], [2.630, -4.743, 4.754], [2.630, 4.743, -4.754]], "species": ["Ac", "Zn", "Zn", "Zn", "Zn", "Zn", "Zn", "Ag", "Ag", "Ag", "Ag", "Ag", "Ag"], "fractional_positions": [[0.000, 0.000, 0.000], [0.000, 0.000, 0.500], [0.000, 0.500, 0.000], [0.233, 0.500, 0.733], [0.500, 0.000, 0.000], [0.500, 0.500, 0.500], [0.767, 0.500, 0.267], [0.213, 0.713, 0.500], [0.348, 0.000, 0.348], [0.352, 0.352, 0.000], [0.648, 0.648, 0.000], [0.652, 0.000, 0.652], [0.787, 0.287, 0.500]], "ef_ev_per_atom": -0.15, "dft_energy_ev_per_atom": -2.369, "dos_at_fermi_per_ev_fu": 4.3, "density_g_cm3": 8.87}


{"formula": "In2SnPtF", "functional": "PBE", "state": "optimized geometry", "lattice": [[4.823, 0.000, 0.000], [0.000, 4.823, 0.000], [0.000, 0.000, 4.794]], "species": ["In", "In", "Sn", "Pt", "F"], "fractional_positions": [[0.000, 0.500, 0.000], [0.500, 0.000, 0.000], [0.000, 0.000, 0.500], [0.500, 0.500, 0.500], [0.000, 0.000, 0.000]], "dft_energy_ev_per_atom": -3.755, "dos_at_fermi_per_ev_fu": 2.3, "density_g_cm3": 8.38, "formation_energy_uncorrected_ev_per_atom": -0.28}


{"formula": "CsCd2InNi", "functional": "PBE", "state": "optimized geometry", "lattice": [[5.312, 0.000, 0.000], [0.000, 5.312, 0.000], [0.000, 0.000, 5.079]], "species": ["Cs", "Cd", "Cd", "In", "Ni"], "fractional_positions": [[0.000, 0.000, 0.000], [0.000, 0.500, 0.500], [0.500, 0.000, 0.500], [0.500, 0.500, 0.000], [0.500, 0.500, 0.500]], "ef_ev_per_atom": -0.01, "dft_energy_ev_per_atom": -2.254, "dos_at_fermi_per_ev_fu": 1.6, "density_g_cm3": 6.15}


{"formula": "InGe2Te2", "functional": "PBE", "state": "optimized geometry", "lattice": [[8.241, 0.000, 0.000], [0.000, 8.241, 0.000], [0.000, 0.000, 4.036]], "species": ["In", "In", "Ge", "Ge", "Ge", "Ge", "Te", "Te", "Te", "Te"], "fractional_positions": [[0.000, 0.000, 0.000], [0.500, 0.500, 0.000], [0.160, 0.340, 0.000], [0.340, 0.840, 0.000], [0.660, 0.160, 0.000], [0.840, 0.660, 0.000], [0.170, 0.670, 0.500], [0.330, 0.170, 0.500], [0.670, 0.830, 0.500], [0.830, 0.330, 0.500]], "dft_energy_ev_per_atom": -3.567, "dos_at_fermi_per_ev_fu": 1.6, "de_polymorph_mev_per_atom": 36.1, "density_g_cm3": 6.24, "formation_energy_uncorrected_ev_per_atom": 0.08}


{"formula": "NpInGa2", "functional": "PBE", "state": "optimized geometry", "lattice": [[0.000, 3.488, 3.488], [3.488, 0.000, 3.488], [3.488, 3.488, 0.000]], "species": ["Np", "In", "Ga", "Ga"], "fractional_positions": [[0.000, 0.000, 0.000], [0.500, 0.500, 0.500], [0.250, 0.250, 0.250], [0.750, 0.750, 0.750]], "ef_ev_per_atom": 0.02, "dft_energy_ev_per_atom": -5.417, "dos_at_fermi_per_ev_fu": 7.0, "de_polymorph_mev_per_atom": 123.7, "density_g_cm3": 9.61}


{"formula": "BaOsPb3", "functional": "PBE", "state": "optimized geometry", "lattice": [[6.038, 0.000, 0.000], [0.000, 6.038, 0.000], [0.000, 0.000, 6.038]], "species": ["Ba", "Os", "Pb", "Pb", "Pb"], "fractional_positions": [[0.000, 0.000, 0.000], [0.500, 0.500, 0.500], [0.000, 0.000, 0.500], [0.000, 0.500, 0.000], [0.500, 0.000, 0.000]], "ef_ev_per_atom": 2.34, "dft_energy_ev_per_atom": -2.514, "dos_at_fermi_per_ev_fu": 18.1, "density_g_cm3": 7.16}


{"formula": "Zn2PBr", "functional": "PBE", "state": "optimized geometry", "lattice": [[-1.806, 1.806, 7.074], [1.806, -1.806, 7.074], [1.806, 1.806, -7.074]], "species": ["Zn", "Zn", "P", "Br"], "fractional_positions": [[0.000, 0.000, 0.000], [0.750, 0.250, 0.500], [0.500, 0.500, 0.000], [0.250, 0.750, 0.500]], "dft_energy_ev_per_atom": -2.152, "dos_at_fermi_per_ev_fu": 2.6, "de_polymorph_mev_per_atom": 709.5, "density_g_cm3": 4.35, "formation_energy_uncorrected_ev_per_atom": 0.26}


{"formula": "Al2Sn2Au5", "functional": "PBE", "state": "optimized geometry", "lattice": [[4.628, 0.000, 0.000], [1.946, 6.458, 0.000], [2.033, 1.771, 6.608]], "species": ["Al", "Al", "Sn", "Sn", "Au", "Au", "Au", "Au", "Au"], "fractional_positions": [[0.027, 0.155, 0.100], [0.973, 0.845, 0.900], [0.359, 0.327, 0.421], [0.641, 0.673, 0.579], [0.000, 0.000, 0.500], [0.129, 0.484, 0.795], [0.432, 0.030, 0.801], [0.568, 0.970, 0.199], [0.871, 0.516, 0.205]], "ef_ev_per_atom": -0.21, "dft_energy_ev_per_atom": -3.751, "dos_at_fermi_per_ev_fu": 2.9, "density_g_cm3": 10.73}


{"formula": "Ni2H4Pd5", "functional": "PBE", "state": "optimized geometry", "lattice": [[15.599, -1.349, 0.000], [15.599, 1.349, 0.000], [-0.224, 0.000, 2.772]], "species": ["Ni", "Ni", "H", "H", "H", "H", "Pd", "Pd", "Pd", "Pd", "Pd"], "fractional_positions": [[0.225, 0.225, 0.230], [0.775, 0.775, 0.770], [0.040, 0.040, 0.538], [0.311, 0.311, 0.693], [0.689, 0.689, 0.307], [0.960, 0.960, 0.462], [0.077, 0.077, 0.069], [0.154, 0.154, 0.642], [0.500, 0.500, 0.500], [0.846, 0.846, 0.358], [0.923, 0.923, 0.931]], "dft_energy_ev_per_atom": -4.539, "dos_at_fermi_per_ev_fu": 10.8, "density_g_cm3": 9.31}


{"formula": "K2Pb", "functional": "PBE", "state": "optimized geometry", "lattice": [[0.000, 5.046, 5.046], [5.046, 0.000, 5.046], [5.046, 5.046, 0.000]], "species": ["K", "K", "K", "K", "Pb", "Pb"], "fractional_positions": [[0.000, 0.000, 0.000], [0.000, 0.000, 0.500], [0.000, 0.500, 0.000], [0.500, 0.000, 0.000], [0.375, 0.375, 0.375], [0.625, 0.625, 0.625]], "ef_ev_per_atom": 0.20, "dft_energy_ev_per_atom": -1.769, "dos_at_fermi_per_ev_fu": 0.7, "density_g_cm3": 3.69}


{"formula": "SrCaEu2", "functional": "PBE", "state": "optimized geometry", "lattice": [[4.477, 0.000, 0.000], [0.000, 4.477, 0.000], [0.000, 0.000, 9.155]], "species": ["Sr", "Ca", "Eu", "Eu"], "fractional_positions": [[0.000, 0.000, 0.000], [0.000, 0.000, 0.500], [0.500, 0.500, 0.268], [0.500, 0.500, 0.732]], "ef_ev_per_atom": 0.03, "dft_energy_ev_per_atom": -6.027, "dos_at_fermi_per_ev_fu": 18.4, "de_polymorph_mev_per_atom": 0.0, "density_g_cm3": 3.91}


Number 6 is which compound? NpInGa2